DFT (PBE) results for a relaxed Dy9In3O2 crystal.

abc: 6.816 6.816 8.366
angles: 90.00 90.00 120.00
Fractional positions:
In 0.667 0.333 0.668
In 0.000 0.000 0.000
In 0.333 0.667 0.332
Dy 0.168 0.336 0.668
Dy 0.500 0.000 0.000
Dy 0.168 0.832 0.668
Dy 0.000 0.500 0.000
Dy 0.336 0.168 0.332
Dy 0.664 0.832 0.668
Dy 0.832 0.664 0.332
Dy 0.832 0.168 0.332
Dy 0.500 0.500 0.000
O 0.667 0.333 0.158
O 0.333 0.667 0.842

Calculated values
The value obtained for the raw formation energy is -1.068 eV/atom. The total moment comes out at 0.0 μB/f.u. The space group is P-3m1.